No. 1
A plane-wave DFT calculation with PBE was carried out for a relaxed structure of Co2SiSe.

a b c (Å): 6.572 6.572 6.572
angles (deg): 135.50 135.50 64.76
Positions (direct):
Co 0.115 0.625 0.990
Co 0.375 0.365 0.490
Co 0.635 0.125 0.010
Co 0.875 0.885 0.510
Si 0.000 0.000 0.000
Si 0.750 0.250 0.500
Se 0.250 0.750 0.500
Se 0.500 0.500 0.000

Values from the calculation:
Raw formation energy, eV per atom: 0.14
Relative energy among the computed polymorphs, eV/atom: 0.3210



No. 2
A plane-wave DFT calculation with PBE was carried out for a relaxed structure of Co2SiSe.

a b c (Å): 2.940 4.400 3.917
angles (deg): 90.00 90.00 90.00
Positions (direct):
Co 0.000 0.000 0.000
Co 0.500 0.500 0.265
Si 0.500 0.000 0.490
Se 0.000 0.500 0.773

Values from the calculation:
Raw formation energy, eV per atom: -0.05
Relative energy among the computed polymorphs, eV/atom: 0.1305



No. 3
A plane-wave DFT calculation with PBE was carried out for a relaxed structure of Co2SiSe.

a b c (Å): 5.060 5.060 5.060
angles (deg): 145.34 134.80 58.18
Positions (direct):
Co 0.000 0.000 0.000
Co 0.705 0.205 0.500
Si 0.496 0.496 0.000
Se 0.224 0.724 0.500

Values from the calculation:
Raw formation energy, eV per atom: 0.13
Relative energy among the computed polymorphs, eV/atom: 0.3102



No. 4
A plane-wave DFT calculation with PBE was carried out for a relaxed structure of CoSiSe3.

a b c (Å): 4.688 4.688 4.688
angles (deg): 90.00 90.00 90.00
Positions (direct):
Co 0.000 0.000 0.000
Si 0.500 0.500 0.500
Se 0.000 0.000 0.500
Se 0.000 0.500 0.000
Se 0.500 0.000 0.000

Values from the calculation:
Raw formation energy, eV per atom: 0.53
Relative energy among the computed polymorphs, eV/atom: 0.0000



No. 5
A plane-wave DFT calculation with PBE was carried out for a relaxed structure of Co2SiSe.

a b c (Å): 4.157 4.157 2.893
angles (deg): 90.00 90.00 90.00
Positions (direct):
Co 0.000 0.500 0.000
Co 0.500 0.000 0.000
Si 0.000 0.000 0.500
Se 0.500 0.500 0.500

Values from the calculation:
Raw formation energy, eV per atom: 0.09
Relative energy among the computed polymorphs, eV/atom: 0.2775



No. 6
A plane-wave DFT calculation with PBE was carried out for a relaxed structure of Co2SiSe.

a b c (Å): 3.241 3.241 4.824
angles (deg): 90.00 90.00 90.00
Positions (direct):
Co 0.000 0.000 0.000
Co 0.500 0.500 0.346
Si 0.500 0.500 0.862
Se 0.000 0.000 0.491

Values from the calculation:
Raw formation energy, eV per atom: -0.11
Relative energy among the computed polymorphs, eV/atom: 0.0688



No. 7
A plane-wave DFT calculation with PBE was carried out for a relaxed structure of CoSiSe4.

a b c (Å): 5.631 5.631 5.631
angles (deg): 60.00 60.00 60.00
Positions (direct):
Co 0.000 0.000 0.000
Si 0.750 0.750 0.750
Se 0.374 0.374 0.374
Se 0.374 0.374 0.877
Se 0.374 0.877 0.374
Se 0.877 0.374 0.374

Values from the calculation:
Raw formation energy, eV per atom: 1.06



No. 8
A plane-wave DFT calculation with PBE was carried out for a relaxed structure of Co2SiSe.

a b c (Å): 4.159 4.159 4.159
angles (deg): 60.00 60.00 60.00
Positions (direct):
Co 0.250 0.250 0.250
Co 0.750 0.750 0.750
Si 0.000 0.000 0.000
Se 0.500 0.500 0.500

Values from the calculation:
Raw formation energy, eV per atom: 0.13
Relative energy among the computed polymorphs, eV/atom: 0.3120



No. 9
A plane-wave DFT calculation with PBE was carried out for a relaxed structure of CoSi4Se.

a b c (Å): 5.093 5.093 5.093
angles (deg): 60.00 60.00 60.00
Positions (direct):
Co 0.000 0.000 0.000
Si 0.375 0.375 0.375
Si 0.375 0.375 0.876
Si 0.375 0.876 0.375
Si 0.876 0.375 0.375
Se 0.750 0.750 0.750

Values from the calculation:
Raw formation energy, eV per atom: 0.70



No. 10
A plane-wave DFT calculation with PBE was carried out for a relaxed structure of Co2SiSe.

a b c (Å): 4.221 4.221 4.221
angles (deg): 60.00 60.00 60.00
Positions (direct):
Co 0.000 0.000 0.000
Co 0.250 0.250 0.250
Si 0.750 0.750 0.750
Se 0.500 0.500 0.500

Values from the calculation:
Raw formation energy, eV per atom: 0.50
Relative energy among the computed polymorphs, eV/atom: 0.6834



No. 11
A plane-wave DFT calculation with PBE was carried out for a relaxed structure of CoSiTcSe2.

a b c (Å): 4.910 4.910 4.596
angles (deg): 90.00 90.00 90.00
Positions (direct):
Co 0.000 0.000 0.000
Si 0.500 0.500 0.000
Tc 0.500 0.500 0.500
Se 0.000 0.500 0.500
Se 0.500 0.000 0.500

Values from the calculation:
Raw formation energy, eV per atom: 0.95
Relative energy among the computed polymorphs, eV/atom: 0.0000



No. 12
A plane-wave DFT calculation with PBE was carried out for a relaxed structure of CoSiTcSe2.

a b c (Å): 4.783 4.783 4.532
angles (deg): 90.00 90.00 90.00
Positions (direct):
Co 0.000 0.000 0.000
Si 0.500 0.500 0.500
Tc 0.500 0.500 0.000
Se 0.000 0.500 0.500
Se 0.500 0.000 0.500

Values from the calculation:
Raw formation energy, eV per atom: 1.26
Relative energy among the computed polymorphs, eV/atom: 0.3066